Here is a relaxed Sm8Ni3OsBr4 crystal from Alexandria via LeMat-Bulk. Energies are from PBE.

Lattice parameters (Å, degrees): 9.009 9.009 9.009 53.18 53.18 53.18
Atoms (fractional coordinates):
Sm 0.230 0.230 0.230
Sm 0.232 0.731 0.731
Sm 0.269 0.269 0.768
Sm 0.269 0.768 0.269
Sm 0.731 0.232 0.731
Sm 0.731 0.731 0.232
Sm 0.768 0.269 0.269
Sm 0.770 0.770 0.770
Ni 0.000 0.000 0.500
Ni 0.000 0.500 0.000
Ni 0.500 0.000 0.000
Os 0.500 0.500 0.500
Br 0.000 0.000 0.000
Br 0.000 0.500 0.500
Br 0.500 0.000 0.500
Br 0.500 0.500 0.000

Properties
total moment: 0.000 μB per formula unit
DOS(E_F): 0.5570 states/eV/atom
raw formation energy: -0.8064 eV/atom
E_tot: -85.9 eV/cell
crystal system: trigonal